(1)
DFT (PBE) results for MgTaCrOs after structural relaxation.

a = 4.4598 Å, b = 4.4598 Å, c = 4.4598 Å
α = 60.00°, β = 60.00°, γ = 60.00°
Last column: nearest neighbours and their distance in Å.
Fractional coordinates of all 4 atoms:
1 Mg 0.5000 0.5000 0.5000  4 Os 2.73, 4 Cr 2.73
2 Os 0.7500 0.7500 0.7500  4 Ta 2.73, 4 Mg 2.73
3 Ta 0.0000 0.0000 0.0000  4 Cr 2.73, 4 Os 2.73
4 Cr 0.2500 0.2500 0.2500  4 Mg 2.73, 4 Ta 2.73

## Properties
final energy	-8.598	eV/atom
space group	F-43m
DOS at the Fermi energy	0.17	states/eV per atom
crystal system	cubic
energy of formation from the pure elements	-0.1	eV per formula unit
total magnetization	2.922	μB/f.u.


(2)
DFT (PBE) results for Mg2TiCrOs after structural relaxation.

a = 4.9521 Å, b = 4.5968 Å, c = 4.9521 Å
α = 90.00°, β = 90.00°, γ = 90.00°
Last column: nearest neighbours and their distance in Å.
Fractional coordinates of all 5 atoms:
1 Cr 0.5000 0.5000 0.5000  8 Mg 3.38, 4 Ti 3.50
2 Ti 0.0000 0.5000 0.0000  2 Os 2.30
3 Mg 0.5000 0.0000 0.0000  2 Os 2.48
4 Os 0.0000 0.0000 0.0000  2 Ti 2.30, 4 Mg 2.48
5 Mg 0.0000 0.0000 0.5000  2 Os 2.48

## Properties
final energy	-5.220	eV/atom
space group	P4/mmm
DOS at the Fermi energy	1.11	states/eV per atom
crystal system	tetragonal
energy of formation from the pure elements	5.8	eV per formula unit
total magnetization	0.235	μB/f.u.


(3)
DFT (PBE) results for MgCrOsW after structural relaxation.

a = 4.3813 Å, b = 4.3813 Å, c = 4.3813 Å
α = 60.00°, β = 60.00°, γ = 60.00°
Last column: nearest neighbours and their distance in Å.
Fractional coordinates of all 4 atoms:
1 Cr 0.2500 0.2500 0.2500  4 Mg 2.68, 4 W 2.68
2 W 0.0000 0.0000 0.0000  4 Cr 2.68, 4 Os 2.68
3 Os 0.7500 0.7500 0.7500  4 W 2.68, 4 Mg 2.68
4 Mg 0.5000 0.5000 0.5000  4 Os 2.68, 4 Cr 2.68

## Properties
final energy	-8.698	eV/atom
space group	F-43m
DOS at the Fermi energy	0.47	states/eV per atom
crystal system	cubic
energy of formation from the pure elements	0.6	eV per formula unit
total magnetization	1.969	μB/f.u.


(4)
DFT (PBE) results for MgZnCr2Os after structural relaxation.

a = 4.3726 Å, b = 4.5646 Å, c = 4.3726 Å
α = 90.00°, β = 90.00°, γ = 90.00°
Last column: nearest neighbours and their distance in Å.
Fractional coordinates of all 5 atoms:
1 Zn 0.0000 0.0000 0.0000  4 Cr 2.19, 2 Os 2.28
2 Os 0.0000 0.5000 0.0000  2 Zn 2.28
3 Cr 0.5000 0.0000 0.0000  2 Zn 2.19
4 Cr 0.0000 0.0000 0.5000  2 Zn 2.19
5 Mg 0.5000 0.5000 0.5000  4 Os 3.09, 8 Cr 3.16

## Properties
final energy	-5.053	eV/atom
space group	P4/mmm
DOS at the Fermi energy	1.85	states/eV per atom
crystal system	tetragonal
energy of formation from the pure elements	8.1	eV per formula unit
total magnetization	0.000	μB/f.u.


(5)
DFT (PBE) results for MgZnCrOs after structural relaxation.

a = 4.2877 Å, b = 4.2877 Å, c = 4.2877 Å
α = 60.00°, β = 60.00°, γ = 60.00°
Last column: nearest neighbours and their distance in Å.
Fractional coordinates of all 4 atoms:
1 Zn 0.7500 0.7500 0.7500  4 Mg 2.63, 4 Os 2.63
2 Cr 0.2500 0.2500 0.2500  4 Os 2.63, 4 Mg 2.63
3 Mg 0.0000 0.0000 0.0000  4 Zn 2.63, 4 Cr 2.63
4 Os 0.5000 0.5000 0.5000  4 Cr 2.63, 4 Zn 2.63

## Properties
final energy	-5.795	eV/atom
space group	F-43m
DOS at the Fermi energy	0.23	states/eV per atom
crystal system	cubic
energy of formation from the pure elements	0.5	eV per formula unit
total magnetization	0.000	μB/f.u.


(6)
DFT (PBE) results for MgCrP2 after structural relaxation.

a = 6.9618 Å, b = 6.9618 Å, c = 6.9618 Å
α = 26.76°, β = 26.76°, γ = 26.76°
Last column: nearest neighbours and their distance in Å.
Fractional coordinates of all 4 atoms:
1 Mg 0.7500 0.7500 0.7500  6 P 2.66
2 Cr 0.2500 0.2500 0.2500  6 P 2.36
3 P 0.9888 0.9888 0.9888  3 Cr 2.36
4 P 0.5112 0.5112 0.5112  3 Cr 2.36

## Properties
final energy	-5.797	eV/atom
relative energy among the computed polymorphs	0.000	eV per atom
space group	R-3m
DOS at the Fermi energy	0.26	states/eV per atom
crystal system	trigonal
energy of formation from the pure elements	-1.1	eV per formula unit
total magnetization	0.000	μB/f.u.


(7)
DFT (PBE) results for MgCrP2 after structural relaxation.

a = 4.3404 Å, b = 4.3404 Å, c = 3.3056 Å
α = 90.00°, β = 90.00°, γ = 100.86°
Last column: nearest neighbours and their distance in Å.
Fractional coordinates of all 4 atoms:
1 Cr 0.5000 0.0000 0.5000  8 P 2.73, 2 Mg 2.76
2 P 0.0000 0.0000 0.0000  4 Mg 2.73, 4 Cr 2.73, 2 P 2.76
3 Mg 0.0000 0.5000 0.5000  8 P 2.73, 2 Cr 2.76
4 P 0.5000 0.5000 0.0000  4 Cr 2.73, 4 Mg 2.73, 2 P 2.76

## Properties
final energy	-5.520	eV/atom
relative energy among the computed polymorphs	0.277	eV per atom
space group	Cmmm
DOS at the Fermi energy	0.44	states/eV per atom
crystal system	orthorhombic
energy of formation from the pure elements	0.0	eV per formula unit
total magnetization	3.207	μB/f.u.


(8)
DFT (PBE) results for MgCrP2 after structural relaxation.

a = 2.6371 Å, b = 2.6371 Å, c = 9.6554 Å
α = 90.00°, β = 90.00°, γ = 103.38°
Last column: nearest neighbours and their distance in Å.
Fractional coordinates of all 4 atoms:
1 Cr 0.0000 0.0000 0.4980  2 P 2.34
2 P 0.0000 0.0000 0.9485  4 P 2.64, 2 Mg 2.68
3 Mg 0.5000 0.5000 0.7282  4 Mg 2.64, 2 P 2.68, 2 Cr 2.76
4 P 0.5000 0.5000 0.3252  2 Cr 2.34

## Properties
final energy	-5.251	eV/atom
relative energy among the computed polymorphs	0.546	eV per atom
space group	Cmm2
DOS at the Fermi energy	0.58	states/eV per atom
crystal system	orthorhombic
energy of formation from the pure elements	1.0	eV per formula unit
total magnetization	0.000	μB/f.u.


What did the fifth record say?
DFT (PBE) results for MgZnCrOs after structural relaxation.

a = 4.2877 Å, b = 4.2877 Å, c = 4.2877 Å
α = 60.00°, β = 60.00°, γ = 60.00°
Last column: nearest neighbours and their distance in Å.
Fractional coordinates of all 4 atoms:
1 Zn 0.7500 0.7500 0.7500  4 Mg 2.63, 4 Os 2.63
2 Cr 0.2500 0.2500 0.2500  4 Os 2.63, 4 Mg 2.63
3 Mg 0.0000 0.0000 0.0000  4 Zn 2.63, 4 Cr 2.63
4 Os 0.5000 0.5000 0.5000  4 Cr 2.63, 4 Zn 2.63

## Properties
final energy	-5.795	eV/atom
space group	F-43m
DOS at the Fermi energy	0.23	states/eV per atom
crystal system	cubic
energy of formation from the pure elements	0.5	eV per formula unit
total magnetization	0.000	μB/f.u.


- Which of these has the highest DOS at the Fermi energy?
  MgZnCr2Os